[1]
## ErGe3Pd3 (PBE)

Data for an optimized crystal structure of ErGe3Pd3.

Formation energy from the elements   -149 meV/atom
Final energy   -5.006 eV/atom
Theoretical density   7.52 g cm⁻³

Structure (POSCAR):
```
ErGe3Pd3
1.0
6.777 0.000 0.000
0.000 6.777 0.000
0.000 0.000 6.777
Ge Er Pd
6 2 6
Direct
0.500 0.000 0.750 Ge
0.250 0.500 0.000 Ge
0.000 0.750 0.500 Ge
0.500 0.000 0.250 Ge
0.750 0.500 0.000 Ge
0.000 0.250 0.500 Ge
0.500 0.500 0.500 Er
0.000 0.000 0.000 Er
0.000 0.500 0.750 Pd
0.500 0.750 0.000 Pd
0.750 0.000 0.500 Pd
0.250 0.000 0.500 Pd
0.000 0.500 0.250 Pd
0.500 0.250 0.000 Pd
```

=====

[2]
## ErGePd2 (PBE)

Data for an optimized crystal structure of ErGePd2.

Formation energy from the elements   -911 meV/atom
Final energy   -5.803 eV/atom
Theoretical density   10.29 g cm⁻³

Structure (POSCAR):
```
ErGePd2
1.0
-3.319 -0.503 4.464
-5.258 -2.437 -4.184
2.381 -6.850 0.998
Pd Er Ge
8 4 4
Direct
0.087 0.051 0.816 Pd
0.413 0.449 0.316 Pd
0.413 0.051 0.316 Pd
0.913 0.949 0.184 Pd
0.087 0.449 0.816 Pd
0.587 0.949 0.684 Pd
0.913 0.551 0.184 Pd
0.587 0.551 0.684 Pd
0.144 0.750 0.527 Er
0.644 0.250 0.973 Er
0.856 0.250 0.473 Er
0.356 0.750 0.027 Er
0.642 0.750 0.381 Ge
0.142 0.250 0.119 Ge
0.858 0.750 0.881 Ge
0.358 0.250 0.619 Ge
```

=====

[3]
## Er3Ge3Pd2 (PBE)

Data for an optimized crystal structure of Er3Ge3Pd2.

Formation energy from the elements   -891 meV/atom
ΔE to the lowest computed polymorph   0.0587 eV per atom
Final energy   -5.631 eV/atom
Theoretical density   9.46 g cm⁻³

Structure (POSCAR):
```
Er3Ge3Pd2
1.0
-2.730 -3.198 -3.855
5.995 1.090 -5.150
6.535 -11.750 5.121
Er Ge Pd
12 12 8
Direct
0.867 0.538 0.610 Er
0.371 0.686 0.750 Er
0.633 0.038 0.890 Er
0.367 0.962 0.390 Er
0.367 0.962 0.110 Er
0.129 0.186 0.750 Er
0.633 0.038 0.610 Er
0.871 0.814 0.250 Er
0.629 0.314 0.250 Er
0.133 0.462 0.110 Er
0.133 0.462 0.390 Er
0.867 0.538 0.890 Er
0.403 0.704 0.540 Ge
0.597 0.296 0.460 Ge
0.121 0.181 0.250 Ge
0.903 0.796 0.460 Ge
0.403 0.704 0.960 Ge
0.621 0.319 0.750 Ge
0.379 0.681 0.250 Ge
0.879 0.819 0.750 Ge
0.903 0.796 0.040 Ge
0.097 0.204 0.960 Ge
0.097 0.204 0.540 Ge
0.597 0.296 0.040 Ge
0.125 0.915 0.894 Pd
0.875 0.085 0.106 Pd
0.125 0.915 0.606 Pd
0.375 0.415 0.894 Pd
0.625 0.585 0.106 Pd
0.875 0.085 0.394 Pd
0.375 0.415 0.606 Pd
0.625 0.585 0.394 Pd
```

=====

[4]
## Er5GePd2 (PBE)

Data for an optimized crystal structure of Er5GePd2.

Formation energy from the elements   -709 meV/atom
Final energy   -5.437 eV/atom
Theoretical density   9.70 g cm⁻³

Structure (POSCAR):
```
Er5GePd2
1.0
-3.625 -2.869 -6.025
6.673 -1.642 -3.233
-1.595 -3.740 7.526
Ge Er Pd
2 10 4
Direct
0.750 0.750 0.500 Ge
0.250 0.250 0.500 Ge
0.193 0.014 0.707 Er
0.514 0.693 0.707 Er
0.500 0.500 0.000 Er
0.486 0.307 0.293 Er
0.986 0.486 0.293 Er
0.307 0.807 0.293 Er
0.000 0.000 0.000 Er
0.693 0.193 0.707 Er
0.014 0.514 0.707 Er
0.807 0.986 0.293 Er
0.365 0.865 0.000 Pd
0.635 0.135 0.000 Pd
0.135 0.365 0.000 Pd
0.865 0.635 0.000 Pd
```

=====

[5]
## ErGePd (PBE)

Data for an optimized crystal structure of ErGePd.

Formation energy from the elements   -601 meV/atom
Final energy   -5.392 eV/atom
Theoretical density   9.05 g cm⁻³

Structure (POSCAR):
```
ErGePd
1.0
5.242 0.000 0.000
2.621 5.032 0.879
2.621 1.041 5.001
Er Ge Pd
2 2 2
Direct
0.000 0.250 0.250 Er
0.500 0.750 0.750 Er
0.500 0.750 0.250 Ge
0.000 0.750 0.250 Ge
0.750 0.138 0.862 Pd
0.250 0.362 0.638 Pd
```

=====

[6]
## Er5Ge2Pd12 (PBE)

Data for an optimized crystal structure of Er5Ge2Pd12.

Formation energy from the elements   -694 meV/atom
Final energy   -5.661 eV/atom
Theoretical density   10.27 g cm⁻³

Structure (POSCAR):
```
Er5Ge2Pd12
1.0
-6.388 -2.984 1.934
0.707 2.300 -7.934
4.548 -6.792 4.543
Pd Ge Er
12 2 5
Direct
0.527 0.428 0.168 Pd
0.521 0.041 0.163 Pd
0.099 0.572 0.832 Pd
0.068 0.136 0.869 Pd
0.780 0.168 0.461 Pd
0.220 0.832 0.539 Pd
0.901 0.428 0.168 Pd
0.387 0.168 0.461 Pd
0.479 0.959 0.837 Pd
0.932 0.864 0.131 Pd
0.613 0.832 0.539 Pd
0.473 0.572 0.832 Pd
0.792 0.000 0.000 Ge
0.208 0.000 0.000 Ge
0.665 0.329 0.823 Er
0.789 0.578 0.557 Er
0.335 0.671 0.177 Er
0.211 0.422 0.443 Er
0.000 0.000 0.500 Er
```

=====

[7]
## ErGePd (PBE)

Data for an optimized crystal structure of ErGePd.

Formation energy from the elements   -987 meV/atom
Final energy   -5.778 eV/atom
Theoretical density   9.93 g cm⁻³

Structure (POSCAR):
```
ErGePd
1.0
11.299 -0.008 -0.002
7.895 8.083 0.002
-8.746 -6.061 3.801
Er Ge Pd
6 6 6
Direct
0.625 0.167 0.458 Er
0.867 0.333 0.534 Er
0.533 0.000 0.533 Er
0.953 0.500 0.453 Er
0.201 0.667 0.534 Er
0.291 0.833 0.458 Er
0.601 0.764 0.837 Ge
0.748 0.592 0.155 Ge
0.563 0.408 0.155 Ge
0.074 0.236 0.837 Ge
0.088 0.935 0.153 Ge
0.219 0.065 0.153 Ge
0.434 0.267 0.167 Pd
0.722 0.895 0.826 Pd
0.900 0.733 0.167 Pd
0.395 0.573 0.823 Pd
0.931 0.105 0.826 Pd
0.250 0.427 0.823 Pd
```

=====

[8]
## ErGe4Pd5 (PBE)

Data for an optimized crystal structure of ErGe4Pd5.

Formation energy from the elements   -496 meV/atom
Final energy   -5.395 eV/atom
Theoretical density   9.31 g cm⁻³

Structure (POSCAR):
```
ErGe4Pd5
1.0
-3.910 3.551 -1.584
0.454 -3.022 -7.894
-5.321 -5.121 1.654
Pd Ge Er
10 8 2
Direct
0.021 0.000 0.500 Pd
0.250 0.235 0.714 Pd
0.750 0.735 0.214 Pd
0.750 0.265 0.786 Pd
0.750 0.265 0.214 Pd
0.250 0.765 0.714 Pd
0.750 0.735 0.786 Pd
0.250 0.765 0.286 Pd
0.979 0.500 0.000 Pd
0.250 0.235 0.286 Pd
0.415 0.354 0.000 Ge
0.018 0.500 0.668 Ge
0.585 0.854 0.500 Ge
0.982 0.000 0.832 Ge
0.018 0.500 0.332 Ge
0.982 0.000 0.168 Ge
0.415 0.646 0.000 Ge
0.585 0.146 0.500 Ge
0.519 0.500 0.500 Er
0.481 0.000 0.000 Er
```

=====

[9]
## ErGePd3 (PBE)

Data for an optimized crystal structure of ErGePd3.

Formation energy from the elements   -435 meV/atom
ΔE to the lowest computed polymorph   0.2825 eV per atom
Final energy   -5.387 eV/atom
Theoretical density   8.47 g cm⁻³

Structure (POSCAR):
```
ErGePd3
1.0
-2.172 4.199 2.050
-2.703 0.716 -4.329
-3.672 -7.105 4.186
Pd Ge Er
6 2 2
Direct
0.123 0.869 0.245 Pd
0.716 0.716 0.431 Pd
0.284 0.284 0.569 Pd
0.624 0.877 0.755 Pd
0.131 0.877 0.755 Pd
0.123 0.376 0.245 Pd
0.000 0.000 0.000 Ge
0.250 0.750 0.500 Ge
0.622 0.122 0.244 Er
0.878 0.378 0.756 Er
```

=====

[10]
## Er2Ge3Pd5 (PBE)

Data for an optimized crystal structure of Er2Ge3Pd5.

Formation energy from the elements   -792 meV/atom
ΔE to the lowest computed polymorph   0.0000 eV per atom
Final energy   -5.686 eV/atom
Theoretical density   10.21 g cm⁻³

Structure (POSCAR):
```
Er2Ge3Pd5
1.0
-1.900 3.413 1.772
-5.022 -3.972 2.268
7.088 -3.614 9.367
Ge Pd Er
6 10 4
Direct
0.047 0.928 0.095 Ge
0.775 0.815 0.550 Ge
0.619 0.455 0.239 Ge
0.953 0.428 0.905 Ge
0.381 0.955 0.761 Ge
0.225 0.315 0.450 Ge
0.722 0.509 0.445 Pd
0.698 0.087 0.396 Pd
0.056 0.552 0.112 Pd
0.596 0.830 0.192 Pd
0.944 0.052 0.888 Pd
0.404 0.330 0.808 Pd
0.123 0.206 0.246 Pd
0.302 0.587 0.604 Pd
0.877 0.706 0.754 Pd
0.278 0.009 0.555 Pd
0.523 0.216 0.046 Er
0.477 0.716 0.954 Er
0.825 0.266 0.651 Er
0.175 0.766 0.349 Er
```

=====

[11]
## ErGePd (PBE)

Data for an optimized crystal structure of ErGePd.

Formation energy from the elements   -606 meV/atom
Final energy   -5.397 eV/atom
Theoretical density   9.43 g cm⁻³

Structure (POSCAR):
```
ErGePd
1.0
3.770 0.000 0.000
0.000 3.770 0.000
-1.885 -1.885 4.288
Ge Pd Er
1 1 1
Direct
0.953 0.953 0.906 Ge
0.273 0.273 0.545 Pd
0.624 0.624 0.249 Er
```

=====

[12]
## Er3Ge4Pd2 (PBE)

Data for an optimized crystal structure of Er3Ge4Pd2.

Formation energy from the elements   -828 meV/atom
ΔE to the lowest computed polymorph   0.0233 eV per atom
Final energy   -5.555 eV/atom
Theoretical density   9.15 g cm⁻³

Structure (POSCAR):
```
Er3Ge4Pd2
1.0
-1.085 -4.109 0.945
0.927 0.771 -5.610
7.448 -1.212 3.284
Ge Er Pd
4 3 2
Direct
0.938 0.875 0.606 Ge
0.062 0.125 0.394 Ge
0.728 0.456 0.065 Ge
0.272 0.544 0.935 Ge
0.000 0.000 0.000 Er
0.336 0.673 0.335 Er
0.664 0.327 0.665 Er
0.394 0.789 0.723 Pd
0.606 0.211 0.277 Pd
```

=====

The lowest theoretical density belongs to which entry? ErGe3Pd3